Entry 1:
# PdSe2Br | the Alexandria database | PBE | relaxed
data_PdSe2Br
_chemical_formula_sum 'Pd4 Se8 Br4'
_cell_length_a 2.829
_cell_length_b 28.855
_cell_length_c 5.177
_cell_angle_alpha 90.00
_cell_angle_beta 90.00
_cell_angle_gamma 90.00
_symmetry_space_group_name_H-M 'C m c m'
_symmetry_Int_Tables_number 63
_symmetry_space_group_name_Hall '-C 2c 2'
loop_
_atom_site_label
_atom_site_type_symbol
_atom_site_fract_x
_atom_site_fract_y
_atom_site_fract_z
_atom_site_occupancy
Pd1 Pd 0.000 0.010 0.250 1
Se1 Se 0.000 0.074 0.750 1
Se2 Se 0.000 0.096 0.250 1
Br1 Br 0.000 0.308 0.250 1
# Mass density ... 5410 kg/m3
# Total magnetization ... 0.8 μB per cell
# ΔE to the lowest computed polymorph ... 292 meV per atom
# DOS at the Fermi energy ... 10.27 states/eV/cell



Entry 2:
# PdSe2Br | the Alexandria database | PBE | relaxed
data_PdSe2Br
_chemical_formula_sum 'Pd1 Se2 Br1'
_cell_length_a 3.835
_cell_length_b 4.745
_cell_length_c 5.433
_cell_angle_alpha 105.84
_cell_angle_beta 90.06
_cell_angle_gamma 90.01
_symmetry_space_group_name_H-M 'P -1'
_symmetry_Int_Tables_number 2
loop_
_symmetry_equiv_pos_as_xyz
'x,y,z'
'-x,-y,-z'
loop_
_atom_site_label
_atom_site_type_symbol
_atom_site_fract_x
_atom_site_fract_y
_atom_site_fract_z
_atom_site_occupancy
Pd1 Pd 0.000 0.000 0.000 1
Se1 Se 0.500 0.356 0.148 1
Br1 Br 0.000 0.000 0.500 1
# Mass density ... 6009 kg/m3
# Total magnetization ... 0.0 μB per cell
# ΔE to the lowest computed polymorph ... 0 meV per atom
# DOS at the Fermi energy ... 0.92 states/eV/cell



Entry 3:
# PdSe2Br | the Alexandria database | PBE | relaxed
data_PdSe2Br
_chemical_formula_sum 'Pd16 Se32 Br16'
_cell_length_a 10.795
_cell_length_b 11.153
_cell_length_c 15.165
_cell_angle_alpha 90.00
_cell_angle_beta 105.16
_cell_angle_gamma 90.00
_symmetry_space_group_name_H-M 'C 1 2/c 1'
_symmetry_Int_Tables_number 15
loop_
_symmetry_equiv_pos_as_xyz
'x,y,z'
'-x,-y,-z'
'-x,y,-z+1/2'
'x,-y,z+1/2'
'x+1/2,y+1/2,z'
'-x+1/2,-y+1/2,-z'
'-x+1/2,y+1/2,-z+1/2'
'x+1/2,-y+1/2,z+1/2'
loop_
_atom_site_label
_atom_site_type_symbol
_atom_site_fract_x
_atom_site_fract_y
_atom_site_fract_z
_atom_site_occupancy
Pd1 Pd 0.081 0.120 0.347 1
Pd2 Pd 0.145 0.051 0.697 1
Se1 Se 0.000 0.180 0.750 1
Se2 Se 0.000 0.289 0.250 1
Se3 Se 0.039 0.050 0.940 1
Se4 Se 0.147 0.446 0.186 1
Se5 Se 0.224 0.289 0.563 1
Br1 Br 0.128 0.329 0.049 1
Br2 Br 0.184 0.431 0.849 1
# Mass density ... 5190 kg/m3
# Total magnetization ... 0.0 μB per cell
# ΔE to the lowest computed polymorph ... 171 meV per atom
# DOS at the Fermi energy ... 5.93 states/eV/cell